VASP calculation (PBE-GGA) on a relaxed structure of BaAlCl2.

Calculated values
Raw total energy (eV/atom): -3.4943
Space group: R-3m (166)
DOS at the Fermi energy (states/eV per atom): 0.499
ΔE_f (raw) (meV per atom): -1155
Offset from the most stable computed form (meV per atom): 65.6

a = 4.5706 Å, b = 4.5706 Å, c = 30.7028 Å
α = 90.00°, β = 90.00°, γ = 120.00°
Last column: nearest neighbours and their distance in Å.
Sites, in units of the cell vectors:
Ba  0.0000  0.0000  0.0000  6 Cl 3.06
Ba  0.3333  0.6667  0.6667  6 Cl 3.06
Ba  0.6667  0.3333  0.3333  6 Cl 3.06
Al  0.0000  0.0000  0.5000  6 Cl 4.44, 6 Al 4.57
Al  0.3333  0.6667  0.1667  6 Cl 4.44, 6 Al 4.57
Al  0.6667  0.3333  0.8333  6 Cl 4.44, 6 Al 4.57
Cl  0.0000  0.0000  0.2828  3 Ba 3.06
Cl  0.0000  0.0000  0.7172  3 Ba 3.06
Cl  0.3333  0.6667  0.3838  3 Ba 3.06
Cl  0.3333  0.6667  0.9495  3 Ba 3.06
Cl  0.6667  0.3333  0.0505  3 Ba 3.06
Cl  0.6667  0.3333  0.6162  3 Ba 3.06